1) Compound: LiIn2Ir
Source: Alexandria via LeMat-Bulk
Functional: PBE
Structure: optimized geometry

D(E_F) in states/eV/cell: 1.47
ρ in g/cm³: 9.75

The structure in extended XYZ format:
```
4
Lattice="3.221 0.000 0.000 0.000 3.948 0.000 0.000 0.000 5.743" Properties=species:S:1:pos:R:3 pbc="T T T"
In 0.000 0.000 5.584
In 1.611 1.974 1.682
Ir 0.000 0.000 2.846
Li 1.611 1.974 4.246
```

2) Compound: LiIn2Ir
Source: Alexandria via LeMat-Bulk
Functional: PBE
Structure: optimized geometry

D(E_F) in states/eV/cell: 1.63
ρ in g/cm³: 10.21

The structure in extended XYZ format:
```
4
Lattice="0.000 3.267 3.267 3.267 0.000 3.267 3.267 3.267 0.000" Properties=species:S:1:pos:R:3 pbc="T T T"
In 4.901 4.901 4.901
In 1.634 1.634 1.634
Li 0.000 0.000 0.000
Ir 3.267 3.267 3.267
```

Stability comparison, relative energies in meV per atom: 1) 220; 2) 0

1) Compound: LiIn3Ir
Source: Alexandria via LeMat-Bulk
Functional: PBE
Structure: optimized geometry

D(E_F) in states/eV/cell: 8.76
ρ in g/cm³: 8.56

The structure in extended XYZ format:
```
20
Lattice="-2.796 3.855 -2.166 -3.478 -0.347 8.519 7.594 4.432 2.734" Properties=species:S:1:pos:R:3 pbc="T T T"
Ir -2.438 1.367 7.069
Ir -5.029 2.780 6.609
Ir 6.349 5.161 2.478
Ir 3.758 6.573 2.018
In 1.398 7.272 6.726
In 4.538 5.989 4.482
In -2.934 4.690 3.352
In 1.938 6.708 0.098
In 4.254 3.251 5.735
In -0.618 1.233 8.989
In 2.111 4.336 2.530
In -0.078 0.669 2.361
In -3.218 1.951 4.605
In -0.791 3.604 6.558
In 1.394 4.739 8.541
In -0.074 3.202 0.546
Li 1.726 4.636 5.504
Li -0.839 6.060 5.031
Li -0.406 3.305 3.583
Li 2.159 1.881 4.057
```

2) Compound: LiIn3Ir
Source: Alexandria via LeMat-Bulk
Functional: PBE
Structure: optimized geometry

D(E_F) in states/eV/cell: 2.59
ρ in g/cm³: 6.51

The structure in extended XYZ format:
```
5
Lattice="-1.269 4.553 2.111 0.934 -1.925 4.714 4.931 1.536 -0.350" Properties=species:S:1:pos:R:3 pbc="T T T"
Ir 0.000 0.000 0.000
In 2.465 0.768 -0.175
In -0.634 2.277 1.055
In 0.467 -0.962 2.357
Li 2.298 2.082 3.237
```

3) Compound: LiIn3Ir
Source: Alexandria via LeMat-Bulk
Functional: PBE
Structure: optimized geometry

D(E_F) in states/eV/cell: 3.53
ρ in g/cm³: 9.37

The structure in extended XYZ format:
```
10
Lattice="-1.927 -4.026 1.355 3.513 -2.333 -1.931 3.579 -1.507 8.319" Properties=species:S:1:pos:R:3 pbc="T T T"
In 2.567 -1.991 3.227
In 4.949 -5.033 5.668
In 0.376 -4.184 1.900
In 3.280 -5.195 2.828
In 2.285 -5.853 7.379
In 3.017 -3.363 0.146
Ir 4.051 -3.756 8.060
Ir 5.112 -3.104 3.631
Li 4.776 -6.979 7.700
Li 2.458 -3.908 5.348
```

Stability comparison, relative energies in meV per atom: 1) 96; 2) 139; 3) 0

1) Compound: LiIn2NiIr
Source: Alexandria via LeMat-Bulk
Functional: PBE
Structure: optimized geometry

D(E_F) in states/eV/cell: 3.56
ρ in g/cm³: 6.47

The structure in extended XYZ format:
```
5
Lattice="-4.715 -1.013 -1.715 1.787 -3.278 -2.975 -0.546 -3.581 3.617" Properties=species:S:1:pos:R:3 pbc="T T T"
Li -1.737 -3.936 -0.537
In -0.273 -1.790 1.808
In -2.358 -0.507 -0.858
Ir 0.000 0.000 0.000
Ni 0.893 -1.639 -1.488
```

2) Compound: LiIn2NiIr
Source: Alexandria via LeMat-Bulk
Functional: PBE
Structure: optimized geometry

D(E_F) in states/eV/cell: 2.98
ρ in g/cm³: 8.67

The structure in extended XYZ format:
```
5
Lattice="-0.562 4.735 -0.053 -2.223 -0.302 -3.438 -3.969 -0.442 2.605" Properties=species:S:1:pos:R:3 pbc="T T T"
Ni 0.000 0.000 0.000
Ir -3.377 1.995 -0.443
In -0.281 2.367 -0.027
In -1.985 -0.221 1.303
Li -1.111 -0.151 -1.719
```

Stability comparison, relative energies in meV per atom: 1) 0; 2) 193

1) Compound: Lu2InIr
Source: Alexandria via LeMat-Bulk
Functional: PBE
Structure: optimized geometry

D(E_F) in states/eV/cell: 1.15
ρ in g/cm³: 12.35

The structure in extended XYZ format:
```
4
Lattice="-1.624 -1.937 2.363 2.848 0.010 1.966 -2.361 6.113 3.389" Properties=species:S:1:pos:R:3 pbc="T T T"
Ir 0.612 -0.964 2.164
Lu -1.853 4.798 2.659
Lu -0.508 1.315 0.729
In -0.569 2.093 3.859
```

2) Compound: Lu2InIr
Source: Alexandria via LeMat-Bulk
Functional: PBE
Structure: optimized geometry

D(E_F) in states/eV/cell: 1.86
ρ in g/cm³: 12.57

The structure in extended XYZ format:
```
4
Lattice="-4.267 0.173 -2.542 -2.854 -4.054 -0.344 -4.340 -0.196 2.413" Properties=species:S:1:pos:R:3 pbc="T T T"
Ir -5.731 -2.039 -0.236
Lu -2.865 -1.019 -0.118
Lu -8.596 -3.058 -0.355
In 0.000 0.000 0.000
```

Stability comparison, relative energies in meV per atom: 1) 0; 2) 120